Record 1
The following is a meta-GGA SCAN calculation of ZrSb2Ru at its PBEsol-relaxed geometry, from the Alexandria database.

Results
- Raw total energy: -35.24 eV per atom
- Calculated density: 9.49 g/cm³
- Total magnetization: 0.00 μB/f.u.

a b c (Å): 4.7699 4.7699 3.3504
angles (deg): 90.00 90.00 90.00
With the nearest neighbours (Å) after each atom.
Space group P4/mmm (No. 123)
Asymmetric unit:
Zr1 0.0000 0.0000 0.0000 (multiplicity 1)  8 Sb 2.91
Sb1 0.0000 0.5000 0.5000 (multiplicity 2)  4 Zr 2.91, 4 Ru 2.91
Ru1 0.5000 0.5000 0.0000 (multiplicity 1)  8 Sb 2.91

---

Record 2
The following is a meta-GGA SCAN calculation of ZrSb4Ru at its PBEsol-relaxed geometry, from the Alexandria database.

Results
- Raw total energy: -34.93 eV per atom
- Calculated density: 7.84 g/cm³
- Total magnetization: 2.03 μB/f.u.

a b c (Å): 8.3198 8.3198 8.3198
angles (deg): 90.00 90.00 90.00
With the nearest neighbours (Å) after each atom.
Space group F-43m (No. 216)
Asymmetric unit:
Zr1 0.0000 0.0000 0.0000 (multiplicity 4)  12 Sb 3.45, 4 Ru 3.60
Sb1 0.1246 0.1246 0.3754 (multiplicity 16)  6 Sb 2.93-2.95
Ru1 0.2500 0.2500 0.7500 (multiplicity 4)  12 Sb 3.45, 4 Zr 3.60

---

Record 3
The following is a meta-GGA SCAN calculation of ZrSb2Ru at its PBEsol-relaxed geometry, from the Alexandria database.

Results
- Raw total energy: -35.10 eV per atom
- Calculated density: 9.18 g/cm³
- Total magnetization: 0.00 μB/f.u.

a b c (Å): 3.2222 3.2222 26.2937
angles (deg): 90.00 90.00 120.00
With the nearest neighbours (Å) after each atom.
Space group R-3m (No. 166, hexagonal axes)
Asymmetric unit:
Zr1 0.0000 0.0000 0.0000 (multiplicity 3)  6 Sb 3.06, 6 Zr 3.22
Sb1 0.0000 0.0000 0.2408 (multiplicity 6)  3 Ru 2.70
Ru1 0.0000 0.0000 0.5000 (multiplicity 3)  6 Sb 2.70

---

Record 4
The following is a meta-GGA SCAN calculation of Zr5Sb3Ru at its PBEsol-relaxed geometry, from the Alexandria database.

Results
- Raw total energy: -34.09 eV per atom
- Calculated density: 8.25 g/cm³
- Total magnetization: 0.00 μB/f.u.

a b c (Å): 8.6031 8.6031 5.7949
angles (deg): 90.00 90.00 120.00
With the nearest neighbours (Å) after each atom.
Space group P6_3/mcm (No. 193)
Asymmetric unit:
Zr1 0.0000 0.2571 0.2500 (multiplicity 6)  2 Ru 2.64
Zr2 0.3333 0.6667 0.0000 (multiplicity 4)  2 Zr 2.90, 6 Sb 3.02
Sb1 0.0000 0.3931 0.7500 (multiplicity 6)  9 Zr 2.98-3.12
Ru1 0.0000 0.0000 0.0000 (multiplicity 2)  6 Zr 2.64, 2 Ru 2.90

---

Record 5
The following is a meta-GGA SCAN calculation of ZrSb2Ru at its PBEsol-relaxed geometry, from the Alexandria database.

Results
- Raw total energy: -35.09 eV per atom
- Calculated density: 8.52 g/cm³
- Total magnetization: 0.00 μB/f.u.

a b c (Å): 3.3516 3.3516 26.1795
angles (deg): 90.00 90.00 120.00
With the nearest neighbours (Å) after each atom.
Space group R3m (No. 160, hexagonal axes)
Asymmetric unit:
Zr1 0.0000 0.0000 0.0000 (multiplicity 3)  3 Ru 2.76, 3 Sb 2.98
Sb1 0.0000 0.0000 0.5222 (multiplicity 3)  3 Ru 2.65
Sb2 0.0000 0.0000 0.7533 (multiplicity 3)  3 Zr 2.98, 3 Sb 3.30
Ru1 0.0000 0.0000 0.2580 (multiplicity 3)  3 Sb 2.65, 3 Zr 2.76

---

Record 6
The following is a meta-GGA SCAN calculation of ScRu at its PBEsol-relaxed geometry, from the Alexandria database.

Results
- Raw total energy: -24.68 eV per atom
- Calculated density: 6.94 g/cm³
- ΔE_f: -3.5 kcal/mol of atoms
- Total magnetization: 0.00 μB/f.u.

a b c (Å): 2.8916 2.8916 8.3611
angles (deg): 90.00 90.00 90.00
With the nearest neighbours (Å) after each atom.
Space group P4/nmm (No. 129, origin choice 2)
Asymmetric unit:
Sc1 0.2500 0.2500 0.1708 (multiplicity 2)  4 Ru 2.84, 4 Sc 2.89
Ru1 0.2500 0.2500 0.5938 (multiplicity 2)  4 Ru 2.58, 4 Sc 2.84

---

Record 7
The following is a meta-GGA SCAN calculation of ScRu at its PBEsol-relaxed geometry, from the Alexandria database.

Results
- Raw total energy: -25.16 eV per atom
- Calculated density: 7.65 g/cm³
- ΔE_f: -14.5 kcal/mol of atoms
- Total magnetization: 0.00 μB/f.u.

a b c (Å): 3.1642 3.1642 3.1642
angles (deg): 90.00 90.00 90.00
With the nearest neighbours (Å) after each atom.
Space group Pm-3m (No. 221)
Asymmetric unit:
Sc1 0.0000 0.0000 0.0000 (multiplicity 1)  8 Ru 2.74
Ru1 0.5000 0.5000 0.5000 (multiplicity 1)  8 Sc 2.74

---

Record 8
The following is a meta-GGA SCAN calculation of ScRu at its PBEsol-relaxed geometry, from the Alexandria database.

Results
- Raw total energy: -24.46 eV per atom
- Calculated density: 6.95 g/cm³
- ΔE_f: 1.6 kcal/mol of atoms
- Total magnetization: 0.00 μB/f.u.

a b c (Å): 2.9980 2.9980 8.9644
angles (deg): 90.00 90.00 120.00
With the nearest neighbours (Å) after each atom.
Space group P-3m1 (No. 164)
Asymmetric unit:
Sc1 0.3333 0.6667 0.3359 (multiplicity 2)  3 Ru 2.66
Ru1 0.3333 0.6667 0.8893 (multiplicity 2)  3 Ru 2.63, 3 Sc 2.66

---

Record 9
The following is a meta-GGA SCAN calculation of Sc3Ru at its PBEsol-relaxed geometry, from the Alexandria database.

Results
- Raw total energy: -19.78 eV per atom
- Calculated density: 4.89 g/cm³
- ΔE_f: -9.0 kcal/mol of atoms
- Total magnetization: 1.16 μB/f.u.

a b c (Å): 3.1971 3.1971 7.8434
angles (deg): 90.00 90.00 90.00
With the nearest neighbours (Å) after each atom.
Space group P4/mmm (No. 123)
Asymmetric unit:
Sc1 0.0000 0.0000 0.0000 (multiplicity 1)  12 Sc 3.20-3.30
Sc2 0.5000 0.5000 0.3068 (multiplicity 2)  4 Ru 2.72, 1 Sc 3.03
Ru1 0.0000 0.0000 0.5000 (multiplicity 1)  8 Sc 2.72

---

Record 10
The following is a meta-GGA SCAN calculation of ScRu at its PBEsol-relaxed geometry, from the Alexandria database.

Results
- Raw total energy: -23.26 eV per atom
- Calculated density: 5.48 g/cm³
- ΔE_f: 29.3 kcal/mol of atoms
- Total magnetization: 0.00 μB/f.u.

a b c (Å): 5.6144 5.6144 5.6144
angles (deg): 90.00 90.00 90.00
With the nearest neighbours (Å) after each atom.
Space group F-43m (No. 216)
Asymmetric unit:
Sc1 0.0000 0.0000 0.0000 (multiplicity 4)  4 Ru 2.43
Ru1 0.2500 0.2500 0.7500 (multiplicity 4)  4 Sc 2.43

---

Record 11
The following is a meta-GGA SCAN calculation of Sc11Ru4 at its PBEsol-relaxed geometry, from the Alexandria database.

Results
- Raw total energy: -20.21 eV per atom
- Calculated density: 5.21 g/cm³
- ΔE_f: -11.0 kcal/mol of atoms
- Total magnetization: 0.00 μB/f.u.

a b c (Å): 13.1831 13.1831 13.1831
angles (deg): 90.00 90.00 90.00
With the nearest neighbours (Å) after each atom.
Space group Fm-3m (No. 225)
Asymmetric unit:
Sc1 0.0000 0.0000 0.1984 (multiplicity 24)  1 Ru 2.62
Sc2 0.1168 0.1168 0.3832 (multiplicity 32)  4 Ru 2.67-2.92
Sc3 0.1561 0.1561 0.1561 (multiplicity 32)  3 Ru 2.70, 3 Sc 2.96
Ru1 0.0000 0.0000 0.0000 (multiplicity 4)  6 Sc 2.62
Ru2 0.0000 0.0000 0.5000 (multiplicity 4)  8 Sc 2.67
Ru3 0.0000 0.2500 0.2500 (multiplicity 24)  8 Sc 2.70-2.92

---

Record 12
The following is a meta-GGA SCAN calculation of Sc3Ru2 at its PBEsol-relaxed geometry, from the Alexandria database.

Results
- Raw total energy: -22.91 eV per atom
- Calculated density: 5.99 g/cm³
- ΔE_f: -10.1 kcal/mol of atoms
- Total magnetization: 0.00 μB/f.u.

a b c (Å): 4.4887 4.4887 5.3533
angles (deg): 90.00 90.00 120.00
With the nearest neighbours (Å) after each atom.
Space group P-3m1 (No. 164)
Asymmetric unit:
Sc1 0.0000 0.0000 0.0000 (multiplicity 1)  6 Ru 2.72
Sc2 0.3333 0.6667 0.3448 (multiplicity 2)  5 Ru 2.67-2.78
Ru1 0.3333 0.6667 0.8455 (multiplicity 2)  8 Sc 2.67-2.78

---

Record 13
The following is a meta-GGA SCAN calculation of Sc5Ru at its PBEsol-relaxed geometry, from the Alexandria database.

Results
- Raw total energy: -17.93 eV per atom
- Calculated density: 4.28 g/cm³
- ΔE_f: -5.9 kcal/mol of atoms
- Total magnetization: 0.00 μB/f.u.

a b c (Å): 11.0267 3.2695 7.5482
angles (deg): 90.00 111.65 90.00
With the nearest neighbours (Å) after each atom.
Space group C2/m (No. 12)
Asymmetric unit:
Sc1 0.0000 0.0000 0.0000 (multiplicity 2)  10 Sc 3.08-3.27
Sc2 0.1368 0.5000 0.3652 (multiplicity 4)  2 Ru 2.67
Sc3 0.1640 0.5000 0.7893 (multiplicity 4)  2 Ru 2.79, 2 Sc 3.08-3.10
Ru1 0.0000 0.0000 0.5000 (multiplicity 2)  8 Sc 2.67-2.79